1.
A geometry-optimized KCaSb2 structure. Source: Alexandria, functional PBE.

Calculated values
**Energy relative to the elements, uncorrected**: -640 meV per atom
**ρ**: 3.9 g/cm3

Lattice parameters (Å, degrees): 4.2565 4.2565 7.5189 90.00 90.00 90.00
Last column: nearest neighbours and their distance in Å.
Atoms (fractional coordinates):
K  0.5000  0.5000  0.7500  2 Ca 3.76, 8 Sb 3.81
Sb  0.0000  0.0000  0.4385  1 Sb 2.83
Sb  0.0000  0.0000  0.0615  1 Sb 2.83
Ca  0.5000  0.5000  0.2500  8 Sb 3.33

=====

2.
A geometry-optimized CoAs5 structure. Source: Alexandria, functional PBE.

Calculated values
**E**: -4.242 eV/atom
**ρ**: 5.8 g/cm3

Lattice parameters (Å, degrees): 5.1150 5.1150 5.4598 90.00 90.00 120.00
Last column: nearest neighbours and their distance in Å.
Atoms (fractional coordinates):
As  0.3333  0.6667  0.0000  3 Co 2.95, 9 As 2.95-3.10
As  0.6667  0.3333  0.0000  3 Co 2.95, 9 As 2.95-3.10
As  0.5000  0.5000  0.5000  4 As 2.56
As  0.0000  0.5000  0.5000  4 As 2.56
As  0.5000  0.0000  0.5000  4 As 2.56
Co  0.0000  0.0000  0.0000  6 As 2.95

=====

3.
A geometry-optimized ScAlNi2 structure. Source: Alexandria, functional PBE.

Calculated values
**E**: -5.891 eV/atom
**ρ**: 5.3 g/cm3

Lattice parameters (Å, degrees): 6.3477 6.3477 5.1140 90.00 90.00 144.58
Last column: nearest neighbours and their distance in Å.
Atoms (fractional coordinates):
Al  0.5437  0.4563  0.2500  4 Ni 2.46
Al  0.4563  0.5437  0.7500  4 Ni 2.46
Sc  0.7173  0.2827  0.7500  6 Ni 2.62-2.69
Sc  0.2827  0.7173  0.2500  6 Ni 2.62-2.69
Ni  0.0981  0.9019  0.5175  2 Ni 2.38, 2 Al 2.46, 1 Sc 2.62
Ni  0.9019  0.0981  0.0175  2 Ni 2.38, 2 Al 2.46, 1 Sc 2.62
Ni  0.9019  0.0981  0.4825  2 Ni 2.38, 2 Al 2.46, 1 Sc 2.62
Ni  0.0981  0.9019  0.9825  2 Ni 2.38, 2 Al 2.46, 1 Sc 2.62

=====

4.
A geometry-optimized PmTi4S8 structure. Source: Alexandria, functional PBE.

Calculated values
**Energy relative to the elements, uncorrected**: -1380 meV per atom
**ρ**: 3.5 g/cm3

Lattice parameters (Å, degrees): 7.3661 7.3661 7.3661 60.00 60.00 60.00
Last column: nearest neighbours and their distance in Å.
Atoms (fractional coordinates):
S  0.6052  0.1843  0.6052  3 Ti 2.59, 1 Pm 2.61
S  0.1298  0.1298  0.1298  3 Ti 2.41
S  0.1843  0.6052  0.6052  3 Ti 2.59, 1 Pm 2.61
S  0.1298  0.6106  0.1298  3 Ti 2.41
S  0.6106  0.1298  0.1298  3 Ti 2.41
S  0.1298  0.1298  0.6106  3 Ti 2.41
S  0.6052  0.6052  0.6052  3 Ti 2.59, 1 Pm 2.61
S  0.6052  0.6052  0.1843  3 Ti 2.59, 1 Pm 2.61
Ti  0.3613  0.9162  0.3613  6 S 2.41-2.59
Ti  0.3613  0.3613  0.9162  6 S 2.41-2.59
Ti  0.9162  0.3613  0.3613  6 S 2.41-2.59
Ti  0.3613  0.3613  0.3613  6 S 2.41-2.59
Pm  0.7500  0.7500  0.7500  4 S 2.61

=====

5.
A geometry-optimized Sr2MnBePd structure. Source: Alexandria, functional PBE.

Calculated values
**E**: -3.896 eV/atom
**ρ**: 4.1 g/cm3

Lattice parameters (Å, degrees): 5.6686 4.3212 5.6686 90.00 90.00 90.00
Last column: nearest neighbours and their distance in Å.
Atoms (fractional coordinates):
Mn  0.0000  0.5000  0.0000  2 Be 2.16
Sr  0.5000  0.0000  0.0000  2 Be 2.83
Sr  0.0000  0.0000  0.5000  2 Be 2.83
Be  0.0000  0.0000  0.0000  2 Mn 2.16
Pd  0.5000  0.5000  0.5000  8 Sr 3.56

=====

6.
A geometry-optimized KTeAs2 structure. Source: Alexandria, functional PBE.

Calculated values
**Energy relative to the elements, uncorrected**: 15 meV per atom
**ρ**: 4.5 g/cm3

Lattice parameters (Å, degrees): 8.7637 8.7637 8.7637 26.22 26.22 26.22
Last column: nearest neighbours and their distance in Å.
Atoms (fractional coordinates):
Te  0.2500  0.2500  0.2500  6 As 2.86
As  0.5159  0.5159  0.5159  3 Te 2.86
As  0.9841  0.9841  0.9841  3 Te 2.86
K  0.7500  0.7500  0.7500  6 As 3.41

=====

7.
A geometry-optimized ErTh2CrC4 structure. Source: Alexandria, functional PBE.

Calculated values
**E**: -8.243 eV/atom
**ρ**: 9.0 g/cm3

Lattice parameters (Å, degrees): 3.5953 6.1691 12.6615 90.00 90.00 106.94
Last column: nearest neighbours and their distance in Å.
Atoms (fractional coordinates):
Er  0.8897  0.7794  0.2500  4 C 2.66
Er  0.1103  0.2206  0.7500  4 C 2.66
C  0.0000  0.0000  0.0000  4 Th 2.47
C  0.7275  0.4550  0.8597  1 Cr 1.81
C  0.0000  0.0000  0.5000  4 Th 2.47
C  0.4014  0.8029  0.7500  2 Cr 2.01
C  0.5986  0.1971  0.2500  2 Cr 2.01
C  0.2725  0.5450  0.1403  1 Cr 1.81
C  0.7275  0.4550  0.6403  1 Cr 1.81
C  0.2725  0.5450  0.3597  1 Cr 1.81
Th  0.6345  0.2691  0.0450  6 C 2.47-2.71
Th  0.3655  0.7309  0.9550  6 C 2.47-2.71
Th  0.6345  0.2691  0.4550  6 C 2.47-2.71
Th  0.3655  0.7309  0.5450  6 C 2.47-2.71
Cr  0.1739  0.3479  0.2500  4 C 1.81-2.01
Cr  0.8261  0.6521  0.7500  4 C 1.81-2.01

=====

8.
A geometry-optimized PmYAu6 structure. Source: Alexandria, functional PBE.

Calculated values
**E**: -4.513 eV/atom
**ρ**: 13.9 g/cm3

Lattice parameters (Å, degrees): 4.7770 4.9796 8.4648 87.26 73.61 61.34
Last column: nearest neighbours and their distance in Å.
Atoms (fractional coordinates):
Au  0.5025  0.2456  0.7494  8 Au 2.98-3.09
Au  0.7542  0.1242  0.3673  1 Y 2.98, 4 Au 2.98-3.09, 3 Pm 3.03-3.04
Au  0.2512  0.3764  0.1213  3 Y 2.99-3.01, 6 Au 3.01-3.35, 1 Pm 3.07
Au  0.2458  0.8758  0.6327  1 Y 2.98, 4 Au 2.98-3.09, 3 Pm 3.03-3.04
Au  0.7488  0.6236  0.8787  3 Y 2.99-3.01, 6 Au 3.01-3.35, 1 Pm 3.07
Au  0.4975  0.7544  0.2506  8 Au 2.98-3.09
Y  0.0000  0.0000  0.0000  8 Au 2.98-3.01
Pm  0.0000  0.5000  0.5000  12 Au 3.03-3.39